No. 1
A relaxed CeTiPb crystal, computed with PBE.

Cell lengths 3.6287, 5.0201, 5.0201 Å; angles 120.00, 90.00, 90.00 degrees
Closest atoms and distances in Å follow each position.
Fractional positions:
Pb: 0.8329 0.6667 0.3333  3 Ti 2.90
Ce: 0.3332 0.3333 0.6667  6 Ti 3.42, 6 Pb 3.42, 2 Ce 3.63
Ti: 0.8339 0.0000 0.0000  3 Pb 2.90

Computed properties:
total magnetic moment = 3.665 μB per formula unit
D(E_F) = 2.051 states/eV per atom
calculated formation energy = -9 meV per atom

=====

No. 2
A relaxed HoCoB2 crystal, computed with PBE.

Cell lengths 3.4529, 3.4529, 5.0294 Å; angles 69.92, 69.92, 60.00 degrees
Closest atoms and distances in Å follow each position.
Fractional positions:
B: 0.8052 0.8052 0.5845  3 Co 2.03, 3 B 2.14
B: 0.1948 0.1948 0.4155  3 Co 2.03, 3 B 2.14
Co: 0.5000 0.5000 0.5000  6 B 2.03
Ho: 0.0000 0.0000 0.0000  8 B 2.70-2.77

Computed properties:
total magnetic moment = 0.000 μB per formula unit
D(E_F) = 0.685 states/eV per atom
calculated formation energy = -388 meV per atom

=====

No. 3
A relaxed LiHf2Mo2 crystal, computed with PBE.

Cell lengths 7.4032, 7.4032, 3.5693 Å; angles 90.00, 90.00, 90.00 degrees
Closest atoms and distances in Å follow each position.
Fractional positions:
Mo: 0.3834 0.8834 0.0000  1 Mo 2.44
Mo: 0.8834 0.6166 0.0000  1 Mo 2.44
Mo: 0.6166 0.1166 0.0000  1 Mo 2.44
Mo: 0.1166 0.3834 0.0000  1 Mo 2.44
Hf: 0.1767 0.6767 0.5000  6 Mo 2.81-2.85
Hf: 0.6767 0.8233 0.5000  6 Mo 2.81-2.85
Hf: 0.8233 0.3233 0.5000  6 Mo 2.81-2.85
Hf: 0.3233 0.1767 0.5000  6 Mo 2.81-2.85
Li: 0.0000 0.0000 0.0000  4 Mo 2.97, 8 Hf 3.26
Li: 0.5000 0.5000 0.0000  4 Mo 2.97, 8 Hf 3.26

Computed properties:
total magnetic moment = 0.000 μB per formula unit
D(E_F) = 0.919 states/eV per atom
calculated formation energy = 329 meV per atom